# ErSc2Cu6 (PBE-GGA, optimized geometry)
data_ErSc2Cu6
_chemical_formula_sum 'Er2 Sc4 Cu12'
_cell_length_a 3.3208
_cell_length_b 7.0093
_cell_length_c 13.0070
_cell_angle_alpha 90.00
_cell_angle_beta 90.00
_cell_angle_gamma 90.00
_space_group_name_H-M_alt 'I m m m'
_space_group_IT_number 71
_space_group_name_Hall '-I 2 2'
loop_
_atom_site_label
_atom_site_type_symbol
_atom_site_fract_x
_atom_site_fract_y
_atom_site_fract_z
_atom_site_occupancy
Er1 Er 0.0000 0.0000 0.0000 1
Sc1 Sc 0.0000 0.5000 0.1380 1
Cu1 Cu 0.0000 0.1777 0.5000 1
Cu2 Cu 0.0000 0.3159 0.3226 1
# Magnetization: 0.000 μB/f.u.
# Energy of formation from the pure elements: -150 meV per atom
# Final energy: -4.795 eV/atom

***

# ErScCu4 (PBE-GGA, optimized geometry)
data_ErScCu4
_chemical_formula_sum 'Er4 Sc4 Cu16'
_cell_length_a 7.2745
_cell_length_b 7.2745
_cell_length_c 7.2745
_cell_angle_alpha 90.00
_cell_angle_beta 90.00
_cell_angle_gamma 90.00
_space_group_name_H-M_alt 'F -4 3 m'
_space_group_IT_number 216
_space_group_name_Hall 'F -4 2 3'
loop_
_atom_site_label
_atom_site_type_symbol
_atom_site_fract_x
_atom_site_fract_y
_atom_site_fract_z
_atom_site_occupancy
Er1 Er 0.0000 0.0000 0.0000 1
Sc1 Sc 0.2500 0.2500 0.7500 1
Cu1 Cu 0.1243 0.1243 0.3757 1
# Energy above the most stable polymorph in this dataset: 0.047 eV per atom
# Magnetization: 0.000 μB/f.u.
# Energy of formation from the pure elements: -207 meV per atom
# Final energy: -4.754 eV/atom

***

# ErSc2Cu3 (PBE-GGA, optimized geometry)
data_ErSc2Cu3
_chemical_formula_sum 'Er1 Sc2 Cu3'
_cell_length_a 3.3024
_cell_length_b 3.3024
_cell_length_c 10.0287
_cell_angle_alpha 90.00
_cell_angle_beta 90.00
_cell_angle_gamma 90.00
_space_group_name_H-M_alt 'P 4/m m m'
_space_group_IT_number 123
_space_group_name_Hall '-P 4 2'
loop_
_atom_site_label
_atom_site_type_symbol
_atom_site_fract_x
_atom_site_fract_y
_atom_site_fract_z
_atom_site_occupancy
Er1 Er 0.0000 0.0000 0.0000 1
Sc1 Sc 0.0000 0.0000 0.3389 1
Cu1 Cu 0.5000 0.5000 0.1836 1
Cu2 Cu 0.5000 0.5000 0.5000 1
# Magnetization: 0.000 μB/f.u.
# Energy of formation from the pure elements: -274 meV per atom
# Final energy: -5.193 eV/atom

***

# Er2ScCu (PBE-GGA, optimized geometry)
data_Er2ScCu
_chemical_formula_sum 'Er8 Sc4 Cu4'
_cell_length_a 6.6331
_cell_length_b 9.1650
_cell_length_c 6.3956
_cell_angle_alpha 90.00
_cell_angle_beta 90.00
_cell_angle_gamma 90.00
_space_group_name_H-M_alt 'P n m a'
_space_group_IT_number 62
loop_
_space_group_symop_operation_xyz
'x,y,z'
'-x,-y,-z'
'-x+1/2,-y,z+1/2'
'x+1/2,y,-z+1/2'
'x+1/2,-y+1/2,-z+1/2'
'-x+1/2,y+1/2,z+1/2'
'-x,y+1/2,-z'
'x,-y+1/2,z'
loop_
_atom_site_label
_atom_site_type_symbol
_atom_site_fract_x
_atom_site_fract_y
_atom_site_fract_z
_atom_site_occupancy
Er1 Er 0.2014 0.0573 0.1963 1
Sc1 Sc 0.0216 0.2500 0.6201 1
Cu1 Cu 0.0804 0.7500 0.9798 1
# Energy above the most stable polymorph in this dataset: 0.000 eV per atom
# Magnetization: 0.000 μB/f.u.
# Energy of formation from the pure elements: -112 meV per atom
# Final energy: -5.001 eV/atom